# InHg12

A geometry-optimized InHg12 structure (GGA-PBE, the Alexandria database).

polymorph energy (0 for the lowest one): 0.0000 eV/atom
energy of formation: 0.127 kcal/mol of atoms
space-group type: Im-3, No. 204

a b c (Å): 7.8012 7.8012 7.8012
angles (deg): 109.47 109.47 109.47
Positions (direct):
In 0.0000 0.0000 0.0000
Hg 0.1431 0.3229 0.8202
Hg 0.1798 0.5026 0.3229
Hg 0.1798 0.8569 0.6771
Hg 0.3229 0.1798 0.5026
Hg 0.3229 0.8202 0.1431
Hg 0.4974 0.6771 0.8202
Hg 0.5026 0.3229 0.1798
Hg 0.6771 0.1798 0.8569
Hg 0.6771 0.8202 0.4974
Hg 0.8202 0.1431 0.3229
Hg 0.8202 0.4974 0.6771
Hg 0.8569 0.6771 0.1798



# InHg

A geometry-optimized InHg structure (GGA-PBE, the Alexandria database).

energy of formation: 0.290 kcal/mol of atoms
space-group type: P2_1/m, No. 11

a b c (Å): 3.3267 4.8948 6.5653
angles (deg): 90.00 97.22 90.00
Positions (direct):
In 0.2072 0.2500 0.3654
In 0.7928 0.7500 0.6346
Hg 0.3046 0.2500 0.8672
Hg 0.6954 0.7500 0.1328



# In11Hg4

A geometry-optimized In11Hg4 structure (GGA-PBE, the Alexandria database).

energy of formation: 0.661 kcal/mol of atoms
space-group type: P-1, No. 2

a b c (Å): 6.4055 11.2615 11.3343
angles (deg): 87.59 85.38 88.71
Positions (direct):
In 0.0000 0.0000 0.0000
In 0.0209 0.4005 0.6030
In 0.0598 0.0646 0.2755
In 0.0892 0.2760 0.0554
In 0.2247 0.6871 0.6989
In 0.2326 0.1702 0.7922
In 0.2669 0.3330 0.3271
In 0.2741 0.8144 0.1606
In 0.4005 0.7762 0.4272
In 0.4430 0.4275 0.7852
In 0.4732 0.9132 0.8943
In 0.5000 0.5000 0.5000
In 0.5268 0.0868 0.1057
In 0.5570 0.5725 0.2148
In 0.5995 0.2238 0.5728
In 0.7259 0.1856 0.8394
In 0.7331 0.6670 0.6729
In 0.7674 0.8298 0.2078
In 0.7753 0.3129 0.3011
In 0.9108 0.7240 0.9446
In 0.9402 0.9354 0.7245
In 0.9791 0.5995 0.3970
Hg 0.0610 0.5419 0.1365
Hg 0.0838 0.1363 0.5345
Hg 0.4385 0.6409 0.9483
Hg 0.4598 0.9447 0.6299
Hg 0.5402 0.0553 0.3701
Hg 0.5615 0.3591 0.0517
Hg 0.9162 0.8637 0.4655
Hg 0.9390 0.4581 0.8635



no.,calculated volume (Å³/f.u.),total moment (Bohr magnetons per cell)
1,365,0.00
2,53,0.00
3,407,0.00